Record 1
This record from Alexandria via LeMat-Bulk describes a PBEsol-optimized structure of Ba4CaSb. The functional is meta-GGA SCAN.

Results
As for the uncorrected formation energy: 0.13 eV/atom.

a = 7.234 Å, b = 7.234 Å, c = 7.234 Å
α = 60.00°, β = 60.00°, γ = 60.00°
Sites, in units of the cell vectors:
Ba1 0.377 0.377 0.377
Ba2 0.377 0.377 0.868
Ba3 0.377 0.868 0.377
Ba4 0.868 0.377 0.377
Ca1 0.000 0.000 0.000
Sb1 0.750 0.750 0.750



Record 2
This record from Alexandria via LeMat-Bulk describes a PBEsol-optimized structure of BeTe2As. The functional is meta-GGA SCAN.

Results
As for the uncorrected formation energy: 0.03 eV/atom. The value obtained for the energy above the most stable polymorph in this dataset is 0.0 meV/atom.

a = 3.250 Å, b = 3.250 Å, c = 8.762 Å
α = 90.00°, β = 90.00°, γ = 90.00°
Sites, in units of the cell vectors:
Be1 0.000 0.000 0.000
Te1 0.000 0.000 0.727
Te2 0.500 0.500 0.358
As1 0.500 0.500 0.062



Record 3
This record from Alexandria via LeMat-Bulk describes a PBEsol-optimized structure of Al7Ag. The functional is meta-GGA SCAN.

Results
The value obtained for the energy above the most stable polymorph in this dataset is 33.4 meV/atom. Its energy of formation is 3.6 meV/atom.

a = 4.933 Å, b = 4.933 Å, c = 8.061 Å
α = 114.12°, β = 114.12°, γ = 47.97°
Sites, in units of the cell vectors:
Al1 0.000 0.000 0.000
Al2 0.249 0.249 0.375
Al3 0.251 0.251 0.875
Al4 0.498 0.498 0.247
Al5 0.502 0.502 0.753
Al6 0.749 0.749 0.125
Al7 0.751 0.751 0.625
Ag1 0.000 0.000 0.500



Values of calculated density, in order: 4412, 6084, 3781, all in kg/m³.
Values of DFT total energy, in order: -34.059, -24.733, -10.700, all in eV per atom.